Entry 1:
SrTbSb2Au2: relaxed, PBE.

Results
* formation energy (no corrections): -0.83 eV per atom
* calculated volume: 161 Å³/f.u.
* raw total energy: -4.348 eV/atom

Structure (CIF):
```
data_SrTbSb2Au2
_cell_length_a 4.6880
_cell_length_b 4.6880
_cell_length_c 8.4589
_cell_angle_alpha 90.00
_cell_angle_beta 90.00
_cell_angle_gamma 120.00
_space_group_name_H-M_alt 'P -3 m 1'
_space_group_IT_number 164
_space_group_name_Hall '-P 3 2"'
loop_
_atom_site_label
_atom_site_type_symbol
_atom_site_fract_x
_atom_site_fract_y
_atom_site_fract_z
Sr1 Sr 0.0000 0.0000 0.0000
Tb1 Tb 0.0000 0.0000 0.5000
Sb1 Sb 0.3333 0.6667 0.7486
Au1 Au 0.3333 0.6667 0.3086
```


Entry 2:
Li2LaPuS4: relaxed, PBE.

Results
* formation energy (no corrections): -1.67 eV per atom
* calculated volume: 176 Å³/f.u.
* raw total energy: -6.618 eV/atom

Structure (CIF):
```
data_Li2LaPuS4
_cell_length_a 6.595
_cell_length_b 4.068
_cell_length_c 7.056
_cell_angle_alpha 90.00
_cell_angle_beta 111.20
_cell_angle_gamma 90.00
_space_group_name_H-M_alt 'P 1 2/m 1'
_space_group_IT_number 10
_space_group_name_Hall '-P 2y'
loop_
_atom_site_label
_atom_site_type_symbol
_atom_site_fract_x
_atom_site_fract_y
_atom_site_fract_z
Li1 Li 0.000 0.000 0.000
Li2 Li 0.000 0.500 0.500
La1 La 0.500 0.000 0.500
Pu1 Pu 0.500 0.500 0.000
S1 S 0.242 0.500 0.239
S2 S 0.249 0.000 0.759
```


Entry 3:
CrRuI2N: relaxed, PBE.

Results
* formation energy (no corrections): 0.56 eV per atom
* ΔE to the lowest computed polymorph: 0.000 eV per atom
* calculated volume: 116 Å³/f.u.
* raw total energy: -5.502 eV/atom

Structure (CIF):
```
data_CrRuI2N
_cell_length_a 5.580
_cell_length_b 5.580
_cell_length_c 3.719
_cell_angle_alpha 90.00
_cell_angle_beta 90.00
_cell_angle_gamma 90.00
_space_group_name_H-M_alt 'P 4/m m m'
_space_group_IT_number 123
_space_group_name_Hall '-P 4 2'
loop_
_atom_site_label
_atom_site_type_symbol
_atom_site_fract_x
_atom_site_fract_y
_atom_site_fract_z
Cr1 Cr 0.000 0.000 0.000
Ru1 Ru 0.500 0.500 0.500
I1 I 0.000 0.500 0.500
N1 N 0.500 0.500 0.000
```


Entry 4:
Cd2FeGe: relaxed, PBE.

Results
* calculated formation energy: 0.441 eV per atom
* calculated volume: 91 Å³/f.u.
* raw total energy: -3.287 eV/atom

Structure (CIF):
```
data_Cd2FeGe
_cell_length_a 8.945
_cell_length_b 8.945
_cell_length_c 4.564
_cell_angle_alpha 90.00
_cell_angle_beta 90.00
_cell_angle_gamma 90.00
_space_group_name_H-M_alt 'I -4 2 d'
_space_group_IT_number 122
_space_group_name_Hall 'I -4 2bw'
loop_
_atom_site_label
_atom_site_type_symbol
_atom_site_fract_x
_atom_site_fract_y
_atom_site_fract_z
Cd1 Cd 0.136 0.250 0.125
Fe1 Fe 0.000 0.000 0.000
Ge1 Ge 0.000 0.000 0.500
```


Entry 5:
ZrReSe: relaxed, PBE.

Results
* formation energy (no corrections): -0.05 eV per atom
* ΔE to the lowest computed polymorph: 0.131 eV per atom
* calculated volume: 53 Å³/f.u.
* raw total energy: -8.210 eV/atom

Structure (CIF):
```
data_ZrReSe
_cell_length_a 11.177
_cell_length_b 3.126
_cell_length_c 3.123
_cell_angle_alpha 90.00
_cell_angle_beta 102.09
_cell_angle_gamma 90.00
_space_group_name_H-M_alt 'C 1 m 1'
_space_group_IT_number 8
_space_group_name_Hall 'C -2y'
loop_
_atom_site_label
_atom_site_type_symbol
_atom_site_fract_x
_atom_site_fract_y
_atom_site_fract_z
Zr1 Zr 0.000 0.000 0.000
Re1 Re 0.187 0.500 0.615
Se1 Se 0.307 0.000 0.215
```


Entry 6:
Si2TcAu: relaxed, PBE.

Results
* formation energy (no corrections): -0.04 eV per atom
* ΔE to the lowest computed polymorph: 0.121 eV per atom
* calculated volume: 61 Å³/f.u.
* raw total energy: -6.165 eV/atom

Structure (CIF):
```
data_Si2TcAu
_cell_length_a 8.146
_cell_length_b 3.076
_cell_length_c 4.939
_cell_angle_alpha 90.00
_cell_angle_beta 97.85
_cell_angle_gamma 90.00
_space_group_name_H-M_alt 'C 1 2/m 1'
_space_group_IT_number 12
_space_group_name_Hall '-C 2y'
loop_
_atom_site_label
_atom_site_type_symbol
_atom_site_fract_x
_atom_site_fract_y
_atom_site_fract_z
Si1 Si 0.232 0.000 0.196
Tc1 Tc 0.000 0.500 0.000
Au1 Au 0.000 0.000 0.500
```


Entry 7:
Re2NiPb: relaxed, PBE.

Results
* calculated formation energy: 0.652 eV per atom
* calculated volume: 69 Å³/f.u.
* raw total energy: -7.944 eV/atom

Structure (CIF):
```
data_Re2NiPb
_cell_length_a 8.626
_cell_length_b 3.178
_cell_length_c 5.119
_cell_angle_alpha 90.00
_cell_angle_beta 100.68
_cell_angle_gamma 90.00
_space_group_name_H-M_alt 'C 1 m 1'
_space_group_IT_number 8
_space_group_name_Hall 'C -2y'
loop_
_atom_site_label
_atom_site_type_symbol
_atom_site_fract_x
_atom_site_fract_y
_atom_site_fract_z
Re1 Re 0.000 0.000 0.000
Re2 Re 0.223 0.500 0.151
Ni1 Ni 0.257 0.000 0.758
Pb1 Pb 0.497 0.000 0.504
```


Entry 8:
MgCuN2F: relaxed, PBE.

Results
* formation energy (no corrections): 0.33 eV per atom
* ΔE to the lowest computed polymorph: 0.000 eV per atom
* calculated volume: 59 Å³/f.u.
* raw total energy: -4.513 eV/atom

Structure (CIF):
```
data_MgCuN2F
_cell_length_a 3.652
_cell_length_b 3.652
_cell_length_c 4.391
_cell_angle_alpha 90.00
_cell_angle_beta 90.00
_cell_angle_gamma 90.00
_space_group_name_H-M_alt 'P 4/m m m'
_space_group_IT_number 123
_space_group_name_Hall '-P 4 2'
loop_
_atom_site_label
_atom_site_type_symbol
_atom_site_fract_x
_atom_site_fract_y
_atom_site_fract_z
Mg1 Mg 0.000 0.000 0.000
Cu1 Cu 0.500 0.500 0.500
N1 N 0.000 0.500 0.500
F1 F 0.500 0.500 0.000
```


Entry 9:
NdHgPtPb: relaxed, PBE.

Results
* calculated formation energy: -0.519 eV per atom
* calculated volume: 97 Å³/f.u.
* raw total energy: -4.223 eV/atom

Structure (CIF):
```
data_NdHgPtPb
_cell_length_a 7.283
_cell_length_b 7.283
_cell_length_c 7.283
_cell_angle_alpha 90.00
_cell_angle_beta 90.00
_cell_angle_gamma 90.00
_space_group_name_H-M_alt 'F -4 3 m'
_space_group_IT_number 216
_space_group_name_Hall 'F -4 2 3'
loop_
_atom_site_label
_atom_site_type_symbol
_atom_site_fract_x
_atom_site_fract_y
_atom_site_fract_z
Nd1 Nd 0.000 0.000 0.000
Hg1 Hg 0.250 0.250 0.250
Pt1 Pt 0.250 0.250 0.750
Pb1 Pb 0.000 0.000 0.500
```


Entry 10:
ErHPd4: relaxed, PBE.

Results
* calculated volume: 105 Å³/f.u.
* raw total energy: -4.876 eV/atom

Structure (CIF):
```
data_ErHPd4
_cell_length_a 7.274
_cell_length_b 7.274
_cell_length_c 7.958
_cell_angle_alpha 90.00
_cell_angle_beta 90.00
_cell_angle_gamma 90.00
_space_group_name_H-M_alt 'I 41 m d'
_space_group_IT_number 109
_space_group_name_Hall 'I 4bw -2'
loop_
_atom_site_label
_atom_site_type_symbol
_atom_site_fract_x
_atom_site_fract_y
_atom_site_fract_z
Er1 Er 0.000 0.000 0.000
H1 H 0.000 0.000 0.411
Pd1 Pd 0.000 0.304 0.533
Pd2 Pd 0.000 0.318 0.887
```


Entry 11:
K3Na6Sn: relaxed, PBE.

Results
* calculated formation energy: -0.022 eV per atom
* calculated volume: 438 Å³/f.u.
* raw total energy: -1.543 eV/atom

Structure (CIF):
```
data_K3Na6Sn
_cell_length_a 5.634
_cell_length_b 12.502
_cell_length_c 13.645
_cell_angle_alpha 90.00
_cell_angle_beta 114.36
_cell_angle_gamma 90.00
_space_group_name_H-M_alt 'P 1 21/c 1'
_space_group_IT_number 14
_space_group_name_Hall '-P 2ybc'
loop_
_atom_site_label
_atom_site_type_symbol
_atom_site_fract_x
_atom_site_fract_y
_atom_site_fract_z
K1 K 0.000 0.000 0.000
K2 K 0.245 0.059 0.744
Na1 Na 0.035 0.644 0.035
Na2 Na 0.294 0.149 0.294
Na3 Na 0.393 0.745 0.894
Sn1 Sn 0.500 0.000 0.500
```


Entry 12:
CaPrTlHg: relaxed, PBE.

Results
* calculated formation energy: -0.496 eV per atom
* calculated volume: 116 Å³/f.u.
* raw total energy: -2.859 eV/atom

Structure (CIF):
```
data_CaPrTlHg
_cell_length_a 7.739
_cell_length_b 7.739
_cell_length_c 7.739
_cell_angle_alpha 90.00
_cell_angle_beta 90.00
_cell_angle_gamma 90.00
_space_group_name_H-M_alt 'F -4 3 m'
_space_group_IT_number 216
_space_group_name_Hall 'F -4 2 3'
loop_
_atom_site_label
_atom_site_type_symbol
_atom_site_fract_x
_atom_site_fract_y
_atom_site_fract_z
Ca1 Ca 0.000 0.000 0.000
Pr1 Pr 0.000 0.000 0.500
Tl1 Tl 0.250 0.250 0.250
Hg1 Hg 0.250 0.250 0.750
```


Entry 13:
La3Pm3Sm: relaxed, PBE.

Results
* calculated formation energy: 0.036 eV per atom
* ΔE to the lowest computed polymorph: 0.000 eV per atom
* calculated volume: 252 Å³/f.u.
* raw total energy: -4.786 eV/atom

Structure (CIF):
```
data_La3Pm3Sm
_cell_length_a 9.8939
_cell_length_b 9.8939
_cell_length_c 5.9408
_cell_angle_alpha 90.00
_cell_angle_beta 90.00
_cell_angle_gamma 120.00
_space_group_name_H-M_alt 'P 63/m'
_space_group_IT_number 176
_space_group_name_Hall '-P 6c'
loop_
_atom_site_label
_atom_site_type_symbol
_atom_site_fract_x
_atom_site_fract_y
_atom_site_fract_z
La1 La 0.0960 0.4734 0.2500
Pm1 Pm 0.0463 0.2352 0.7500
Sm1 Sm 0.3333 0.6667 0.7500
```


Entry 14:
Na2CaScTl: relaxed, PBE.

Results
* calculated formation energy: 0.298 eV per atom
* calculated volume: 186 Å³/f.u.
* raw total energy: -2.370 eV/atom

Structure (CIF):
```
data_Na2CaScTl
_cell_length_a 5.737
_cell_length_b 5.737
_cell_length_c 5.641
_cell_angle_alpha 90.00
_cell_angle_beta 90.00
_cell_angle_gamma 90.00
_space_group_name_H-M_alt 'P 4/m m m'
_space_group_IT_number 123
_space_group_name_Hall '-P 4 2'
loop_
_atom_site_label
_atom_site_type_symbol
_atom_site_fract_x
_atom_site_fract_y
_atom_site_fract_z
Na1 Na 0.000 0.500 0.000
Ca1 Ca 0.000 0.000 0.500
Sc1 Sc 0.500 0.500 0.500
Tl1 Tl 0.500 0.500 0.000
```


Entry 15:
NdTmThSc: relaxed, PBE.

Results
* calculated formation energy: 0.099 eV per atom
* ΔE to the lowest computed polymorph: 0.058 eV per atom
* calculated volume: 122 Å³/f.u.
* raw total energy: -5.649 eV/atom

Structure (CIF):
```
data_NdTmThSc
_cell_length_a 7.871
_cell_length_b 7.871
_cell_length_c 7.871
_cell_angle_alpha 90.00
_cell_angle_beta 90.00
_cell_angle_gamma 90.00
_space_group_name_H-M_alt 'F -4 3 m'
_space_group_IT_number 216
_space_group_name_Hall 'F -4 2 3'
loop_
_atom_site_label
_atom_site_type_symbol
_atom_site_fract_x
_atom_site_fract_y
_atom_site_fract_z
Nd1 Nd 0.000 0.000 0.000
Tm1 Tm 0.250 0.250 0.750
Th1 Th 0.000 0.000 0.500
Sc1 Sc 0.250 0.250 0.250
```


Entry 16:
AlTc2P: relaxed, PBE.

Results
* calculated formation energy: -0.130 eV per atom
* ΔE to the lowest computed polymorph: 0.256 eV per atom
* calculated volume: 58 Å³/f.u.
* raw total energy: -7.601 eV/atom

Structure (CIF):
```
data_AlTc2P
_cell_length_a 2.992
_cell_length_b 4.893
_cell_length_c 7.863
_cell_angle_alpha 90.00
_cell_angle_beta 90.00
_cell_angle_gamma 90.00
_space_group_name_H-M_alt 'C m m m'
_space_group_IT_number 65
_space_group_name_Hall '-C 2 2'
loop_
_atom_site_label
_atom_site_type_symbol
_atom_site_fract_x
_atom_site_fract_y
_atom_site_fract_z
Al1 Al 0.000 0.000 0.000
Tc1 Tc 0.000 0.500 0.273
P1 P 0.000 0.000 0.500
```


Entry 17:
SmGa4NiAu2: relaxed, PBE.

Results
* calculated formation energy: -0.389 eV per atom
* calculated volume: 145 Å³/f.u.
* raw total energy: -4.035 eV/atom

Structure (CIF):
```
data_SmGa4NiAu2
_cell_length_a 4.3660
_cell_length_b 4.3660
_cell_length_c 26.3090
_cell_angle_alpha 90.00
_cell_angle_beta 90.00
_cell_angle_gamma 120.00
_space_group_name_H-M_alt 'R -3 m'
_space_group_IT_number 166
_space_group_name_Hall '-R 3 2"'
loop_
_atom_site_label
_atom_site_type_symbol
_atom_site_fract_x
_atom_site_fract_y
_atom_site_fract_z
Sm1 Sm 0.0000 0.0000 0.0000
Ga1 Ga 0.0000 0.0000 0.1362
Ga2 Ga 0.0000 0.0000 0.4004
Ni1 Ni 0.0000 0.0000 0.5000
Au1 Au 0.0000 0.0000 0.2449
```


Entry 18:
Sr2SnPt: relaxed, PBE.

Results
* calculated formation energy: -0.300 eV per atom
* calculated volume: 153 Å³/f.u.
* raw total energy: -3.651 eV/atom

Structure (CIF):
```
data_Sr2SnPt
_cell_length_a 4.1456
_cell_length_b 4.1456
_cell_length_c 30.8098
_cell_angle_alpha 90.00
_cell_angle_beta 90.00
_cell_angle_gamma 120.00
_space_group_name_H-M_alt 'R -3 m'
_space_group_IT_number 166
_space_group_name_Hall '-R 3 2"'
loop_
_atom_site_label
_atom_site_type_symbol
_atom_site_fract_x
_atom_site_fract_y
_atom_site_fract_z
Sr1 Sr 0.0000 0.0000 0.1091
Sn1 Sn 0.0000 0.0000 0.0000
Pt1 Pt 0.0000 0.0000 0.5000
```


Entry 19:
HgB: relaxed, PBE.

Results
* calculated formation energy: 0.513 eV per atom
* ΔE to the lowest computed polymorph: 0.033 eV per atom
* calculated volume: 47 Å³/f.u.
* raw total energy: -2.977 eV/atom

Structure (CIF):
```
data_HgB
_cell_length_a 10.843
_cell_length_b 10.843
_cell_length_c 3.189
_cell_angle_alpha 90.00
_cell_angle_beta 90.00
_cell_angle_gamma 90.00
_space_group_name_H-M_alt 'P 4/m'
_space_group_IT_number 83
_space_group_name_Hall '-P 4'
loop_
_atom_site_label
_atom_site_type_symbol
_atom_site_fract_x
_atom_site_fract_y
_atom_site_fract_z
Hg1 Hg 0.017 0.348 0.000
Hg2 Hg 0.271 0.434 0.500
B1 B 0.220 0.649 0.000
B2 B 0.239 0.646 0.500
```


Entry 20:
NaBe2AlSe4: relaxed, PBE.

Results
* formation energy (no corrections): -0.79 eV per atom
* calculated volume: 175 Å³/f.u.
* raw total energy: -4.098 eV/atom

Structure (CIF):
```
data_NaBe2AlSe4
_cell_length_a 5.612
_cell_length_b 5.612
_cell_length_c 11.105
_cell_angle_alpha 90.00
_cell_angle_beta 90.00
_cell_angle_gamma 90.00
_space_group_name_H-M_alt 'I -4 2 m'
_space_group_IT_number 121
_space_group_name_Hall 'I -4 2'
loop_
_atom_site_label
_atom_site_type_symbol
_atom_site_fract_x
_atom_site_fract_y
_atom_site_fract_z
Na1 Na 0.000 0.000 0.000
Be1 Be 0.000 0.500 0.250
Al1 Al 0.000 0.000 0.500
Se1 Se 0.230 0.230 0.644
```